Run one
# MnAlCr | Alexandria | GGA-PBE | optimized geometry
data_MnAlCr
_symmetry_space_group_name_H-M 'P 3 m 1'
_symmetry_Int_Tables_number 156
_cell_length_a 4.0455
_cell_length_b 4.0455
_cell_length_c 2.5904
_cell_angle_alpha 90.00
_cell_angle_beta 90.00
_cell_angle_gamma 120.00
loop_
_symmetry_equiv_pos_as_xyz
'x,y,z'
'-y,x-y,z'
'-x+y,-x,z'
'-y,-x,z'
'-x+y,y,z'
'x,x-y,z'
loop_
_atom_site_label
_atom_site_fract_x
_atom_site_fract_y
_atom_site_fract_z
_atom_site_occupancy
Mn1 0.0000 0.0000 0.0000 1
Al1 0.6667 0.3333 0.3724 1
Cr1 0.3333 0.6667 0.7746 1
# Total magnetization (μB per formula unit): 0.9

---

Run two
# MnAlCr | Alexandria | GGA-PBE | optimized geometry
data_MnAlCr
_symmetry_space_group_name_H-M 'F m m 2'
_symmetry_Int_Tables_number 42
_symmetry_space_group_name_Hall 'F 2 -2'
_cell_length_a 2.876
_cell_length_b 4.249
_cell_length_c 12.137
_cell_angle_alpha 90.00
_cell_angle_beta 90.00
_cell_angle_gamma 90.00
loop_
_atom_site_label
_atom_site_fract_x
_atom_site_fract_y
_atom_site_fract_z
_atom_site_occupancy
Mn1 0.000 0.000 0.000 1
Al1 0.000 0.000 0.670 1
Cr1 0.000 0.000 0.345 1
# Total magnetization (μB per formula unit): 1.0

---

Run three
# MnAlCr | Alexandria | GGA-PBE | optimized geometry
data_MnAlCr
_symmetry_space_group_name_H-M 'I 4 m m'
_symmetry_Int_Tables_number 107
_symmetry_space_group_name_Hall 'I 4 -2'
_cell_length_a 2.866
_cell_length_b 2.866
_cell_length_c 8.796
_cell_angle_alpha 90.00
_cell_angle_beta 90.00
_cell_angle_gamma 90.00
loop_
_atom_site_label
_atom_site_fract_x
_atom_site_fract_y
_atom_site_fract_z
_atom_site_occupancy
Mn1 0.000 0.000 0.000 1
Al1 0.000 0.000 0.677 1
Cr1 0.000 0.000 0.361 1
# Total magnetization (μB per formula unit): 0.0

---

Run four
# MnAlCr | Alexandria | GGA-PBE | optimized geometry
data_MnAlCr
_symmetry_space_group_name_H-M 'F -4 3 m'
_symmetry_Int_Tables_number 216
_symmetry_space_group_name_Hall 'F -4 2 3'
_cell_length_a 5.700
_cell_length_b 5.700
_cell_length_c 5.700
_cell_angle_alpha 90.00
_cell_angle_beta 90.00
_cell_angle_gamma 90.00
loop_
_atom_site_label
_atom_site_fract_x
_atom_site_fract_y
_atom_site_fract_z
_atom_site_occupancy
Mn1 0.000 0.000 0.000 1
Al1 0.250 0.250 0.250 1
Cr1 0.250 0.250 0.750 1
# Total magnetization (μB per formula unit): 0.7

---

Most stable one: run three, least stable one: run four.

---

Run one
# Mn2AlCr2 | Alexandria | GGA-PBE | optimized geometry
data_Mn2AlCr2
_symmetry_space_group_name_H-M 'P 4/m b m'
_symmetry_Int_Tables_number 127
_symmetry_space_group_name_Hall '-P 4 2ab'
_cell_length_a 6.828
_cell_length_b 6.828
_cell_length_c 2.645
_cell_angle_alpha 90.00
_cell_angle_beta 90.00
_cell_angle_gamma 90.00
loop_
_atom_site_label
_atom_site_fract_x
_atom_site_fract_y
_atom_site_fract_z
_atom_site_occupancy
Mn1 0.176 0.324 0.000 1
Al1 0.000 0.000 0.500 1
Cr1 0.119 0.619 0.500 1
# Total magnetization (μB per formula unit): 0.1

---

Run two
# Mn2AlCr2 | Alexandria | GGA-PBE | optimized geometry
data_Mn2AlCr2
_symmetry_space_group_name_H-M 'I 4/m m m'
_symmetry_Int_Tables_number 139
_symmetry_space_group_name_Hall '-I 4 2'
_cell_length_a 3.809
_cell_length_b 3.809
_cell_length_c 9.223
_cell_angle_alpha 90.00
_cell_angle_beta 90.00
_cell_angle_gamma 90.00
loop_
_atom_site_label
_atom_site_fract_x
_atom_site_fract_y
_atom_site_fract_z
_atom_site_occupancy
Mn1 0.000 0.500 0.250 1
Al1 0.000 0.000 0.000 1
Cr1 0.000 0.000 0.380 1
# Total magnetization (μB per formula unit): 0.5

---

Most stable one: run one, least stable one: run two.

---

Run one
# Mn2AlCr2 | Alexandria | GGA-PBE | optimized geometry
data_Mn2AlCr2
_symmetry_space_group_name_H-M 'P 4/m b m'
_symmetry_Int_Tables_number 127
_symmetry_space_group_name_Hall '-P 4 2ab'
_cell_length_a 6.753
_cell_length_b 6.753
_cell_length_c 2.686
_cell_angle_alpha 90.00
_cell_angle_beta 90.00
_cell_angle_gamma 90.00
loop_
_atom_site_label
_atom_site_fract_x
_atom_site_fract_y
_atom_site_fract_z
_atom_site_occupancy
Mn1 0.134 0.366 0.000 1
Al1 0.000 0.000 0.000 1
Cr1 0.163 0.663 0.500 1
# Total magnetization (μB per formula unit): 0.0

---

Run two
# Mn2AlCr2 | Alexandria | GGA-PBE | optimized geometry
data_Mn2AlCr2
_symmetry_space_group_name_H-M 'C 1 2/m 1'
_symmetry_Int_Tables_number 12
_cell_length_a 11.928
_cell_length_b 3.889
_cell_length_c 2.556
_cell_angle_alpha 90.00
_cell_angle_beta 97.82
_cell_angle_gamma 90.00
loop_
_symmetry_equiv_pos_as_xyz
'x,y,z'
'-x,-y,-z'
'-x,y,-z'
'x,-y,z'
'x+1/2,y+1/2,z'
'-x+1/2,-y+1/2,-z'
'-x+1/2,y+1/2,-z'
'x+1/2,-y+1/2,z'
loop_
_atom_site_label
_atom_site_fract_x
_atom_site_fract_y
_atom_site_fract_z
_atom_site_occupancy
Mn1 0.109 0.000 0.455 1
Al1 0.000 0.500 0.000 1
Cr1 0.200 0.500 0.795 1
# Total magnetization (μB per formula unit): 0.0

---

Most stable one: run two, least stable one: run one.

---

Run one
# MnAl2Cr2 | Alexandria | GGA-PBE | optimized geometry
data_MnAl2Cr2
_symmetry_space_group_name_H-M 'P 4/m b m'
_symmetry_Int_Tables_number 127
_symmetry_space_group_name_Hall '-P 4 2ab'
_cell_length_a 6.505
_cell_length_b 6.505
_cell_length_c 3.108
_cell_angle_alpha 90.00
_cell_angle_beta 90.00
_cell_angle_gamma 90.00
loop_
_atom_site_label
_atom_site_fract_x
_atom_site_fract_y
_atom_site_fract_z
_atom_site_occupancy
Mn1 0.000 0.000 0.000 1
Al1 0.136 0.364 0.000 1
Cr1 0.166 0.666 0.500 1
# Total magnetization (μB per formula unit): 2.8

---

Run two
# MnAl2Cr2 | Alexandria | GGA-PBE | optimized geometry
data_MnAl2Cr2
_symmetry_space_group_name_H-M 'C 1 2/m 1'
_symmetry_Int_Tables_number 12
_cell_length_a 4.821
_cell_length_b 8.582
_cell_length_c 6.515
_cell_angle_alpha 90.00
_cell_angle_beta 90.07
_cell_angle_gamma 90.00
loop_
_symmetry_equiv_pos_as_xyz
'x,y,z'
'-x,-y,-z'
'-x,y,-z'
'x,-y,z'
'x+1/2,y+1/2,z'
'-x+1/2,-y+1/2,-z'
'-x+1/2,y+1/2,-z'
'x+1/2,-y+1/2,z'
loop_
_atom_site_label
_atom_site_fract_x
_atom_site_fract_y
_atom_site_fract_z
_atom_site_occupancy
Mn1 0.000 0.250 0.000 1
Al1 0.249 0.165 0.660 1
Cr1 0.250 0.000 0.305 1
Cr2 0.250 0.000 0.972 1
# Total magnetization (μB per formula unit): 1.9

---

Most stable one: run two, least stable one: run one.

---

Run one
# Ta2MnAlCr | Alexandria | GGA-PBE | optimized geometry
data_Ta2MnAlCr
_symmetry_space_group_name_H-M 'P 4/m m m'
_symmetry_Int_Tables_number 123
_symmetry_space_group_name_Hall '-P 4 2'
_cell_length_a 4.532
_cell_length_b 4.532
_cell_length_c 4.372
_cell_angle_alpha 90.00
_cell_angle_beta 90.00
_cell_angle_gamma 90.00
loop_
_atom_site_label
_atom_site_fract_x
_atom_site_fract_y
_atom_site_fract_z
_atom_site_occupancy
Ta1 0.000 0.500 0.000 1
Mn1 0.000 0.000 0.000 1
Al1 0.000 0.000 0.500 1
Cr1 0.500 0.500 0.500 1
# Total magnetization (μB per formula unit): 0.0

---

Run two
# Ta2MnAlCr | Alexandria | GGA-PBE | optimized geometry
data_Ta2MnAlCr
_symmetry_space_group_name_H-M 'P 4/m m m'
_symmetry_Int_Tables_number 123
_symmetry_space_group_name_Hall '-P 4 2'
_cell_length_a 4.645
_cell_length_b 4.645
_cell_length_c 4.159
_cell_angle_alpha 90.00
_cell_angle_beta 90.00
_cell_angle_gamma 90.00
loop_
_atom_site_label
_atom_site_fract_x
_atom_site_fract_y
_atom_site_fract_z
_atom_site_occupancy
Ta1 0.000 0.500 0.000 1
Mn1 0.000 0.000 0.500 1
Al1 0.500 0.500 0.500 1
Cr1 0.000 0.000 0.000 1
# Total magnetization (μB per formula unit): 0.9

---

Most stable one: run two, least stable one: run one.

---

Run one
# Al2Cr2Mo | Alexandria | GGA-PBE | optimized geometry
data_Al2Cr2Mo
_symmetry_space_group_name_H-M 'I 4/m m m'
_symmetry_Int_Tables_number 139
_symmetry_space_group_name_Hall '-I 4 2'
_cell_length_a 3.394
_cell_length_b 3.394
_cell_length_c 12.435
_cell_angle_alpha 90.00
_cell_angle_beta 90.00
_cell_angle_gamma 90.00
loop_
_atom_site_label
_atom_site_fract_x
_atom_site_fract_y
_atom_site_fract_z
_atom_site_occupancy
Al1 0.000 0.000 0.098 1
Cr1 0.000 0.500 0.250 1
Mo1 0.000 0.000 0.500 1
# Total magnetization (μB per formula unit): 0.0

---

Run two
# Al2Cr2Mo | Alexandria | GGA-PBE | optimized geometry
data_Al2Cr2Mo
_symmetry_space_group_name_H-M 'P 4/m b m'
_symmetry_Int_Tables_number 127
_symmetry_space_group_name_Hall '-P 4 2ab'
_cell_length_a 6.790
_cell_length_b 6.790
_cell_length_c 3.041
_cell_angle_alpha 90.00
_cell_angle_beta 90.00
_cell_angle_gamma 90.00
loop_
_atom_site_label
_atom_site_fract_x
_atom_site_fract_y
_atom_site_fract_z
_atom_site_occupancy
Al1 0.132 0.368 0.000 1
Cr1 0.167 0.667 0.500 1
Mo1 0.000 0.000 0.000 1
# Total magnetization (μB per formula unit): 2.3

---

Most stable one: run two, least stable one: run one.